[1]
Crystalline Na2Pm2RhO6 at its relaxed geometry. Source: Alexandria, functional GGA-PBE.

Computed properties:
Symmetry: C2/m (12)

Cell: 5.9060 5.9060 5.8838 Å, 96.72 96.72 120.09°
With the nearest neighbours (Å) after each atom.
Atoms (fractional coordinates):
1 Na 0.1364 0.8636 0.0000  4 O 2.35-2.42
2 Na 0.8636 0.1364 0.0000  4 O 2.35-2.42
3 Pm 0.3374 0.6626 0.5000  6 O 2.34-2.38
4 Pm 0.6626 0.3374 0.5000  6 O 2.34-2.38
5 Rh 0.0000 0.0000 0.5000  6 O 2.08-2.09
6 O 0.0360 0.3418 0.6920  1 Rh 2.09
7 O 0.2436 0.2436 0.2959  1 Rh 2.08
8 O 0.3418 0.0360 0.6920  1 Rh 2.09
9 O 0.6582 0.9640 0.3080  1 Rh 2.09
10 O 0.7564 0.7564 0.7041  1 Rh 2.08
11 O 0.9640 0.6582 0.3080  1 Rh 2.09

=====

[2]
Crystalline CrTe2P at its relaxed geometry. Source: Alexandria, functional GGA-PBE.

Computed properties:
Symmetry: Cm (8)

Cell: 4.1740 4.1740 7.5056 Å, 96.66 96.66 50.08°
With the nearest neighbours (Å) after each atom.
Atoms (fractional coordinates):
1 Cr 0.0000 0.0000 0.0000  3 P 2.31-2.33
2 Te 0.4839 0.4839 0.7117  1 P 2.47
3 Te 0.7071 0.7071 0.2327  3 Cr 2.82-2.99, 2 P 2.86
4 P 0.2979 0.2979 0.9591  3 Cr 2.31-2.33, 1 Te 2.47

=====

| no. | size of the total moment (Bohr magnetons per cell) | final energy (Ry per atom) | formation energy from raw total energies (kJ per mole of atoms) |
| --- | --- | --- | --- |
| 1 | 1.1 | -0.4805 | -199 |
| 2 | 0.9 | -0.3930 | -2 |